Record 1
# La2MoOs | the Alexandria database | GGA-PBE | relaxed
# - magnetization (μB per atom) = 0.164
# - DOS at the Fermi energy (states/eV per cell) = 4.2
# - offset from the most stable computed form (meV per atom) = 509.6
# - calculated volume (Å³ per cell) = 86.47
# - final energy (eV/atom) = -7.40
data_La2MoOs
_chemical_formula_sum 'La2 Mo1 Os1'
_cell_length_a 5.7200
_cell_length_b 5.7200
_cell_length_c 5.7200
_cell_angle_alpha 145.16
_cell_angle_beta 124.94
_cell_angle_gamma 66.83
_symmetry_space_group_name_H-M 'P 1'
_symmetry_Int_Tables_number 1
loop_
_symmetry_equiv_pos_as_xyz
'x,y,z'
loop_
_atom_site_label
_atom_site_type_symbol
_atom_site_fract_x
_atom_site_fract_y
_atom_site_fract_z
_atom_site_occupancy
La1 La 0.0059 0.0059 0.0000 1
La2 La 0.4941 0.4941 0.0000 1
Mo1 Mo 0.7500 0.2500 0.5000 1
Os1 Os 0.2500 0.7500 0.5000 1

Record 2
# LaMoOs2 | the Alexandria database | GGA-PBE | relaxed
# - magnetization (μB per atom) = 0.000
# - DOS at the Fermi energy (states/eV per cell) = 12.3
# - offset from the most stable computed form (meV per atom) = 506.3
# - calculated volume (Å³ per cell) = 164.09
# - final energy (eV/atom) = -8.87
data_LaMoOs2
_chemical_formula_sum 'La2 Mo2 Os4'
_cell_length_a 7.4233
_cell_length_b 7.4233
_cell_length_c 6.0349
_cell_angle_alpha 52.05
_cell_angle_beta 52.05
_cell_angle_gamma 90.00
_symmetry_space_group_name_H-M 'P 1'
_symmetry_Int_Tables_number 1
loop_
_symmetry_equiv_pos_as_xyz
'x,y,z'
loop_
_atom_site_label
_atom_site_type_symbol
_atom_site_fract_x
_atom_site_fract_y
_atom_site_fract_z
_atom_site_occupancy
Mo1 Mo 0.5000 0.5000 0.0000 1
Mo2 Mo 0.2500 0.7500 0.5000 1
Os1 Os 0.5749 0.1250 0.2500 1
Os2 Os 0.1751 0.6250 0.2500 1
Os3 Os 0.3750 0.4251 0.7500 1
Os4 Os 0.8750 0.8249 0.7500 1
La1 La 0.0000 0.0000 0.0000 1
La2 La 0.7500 0.2500 0.5000 1

Record 3
# LaMo2Os2 | the Alexandria database | GGA-PBE | relaxed
# - magnetization (μB per atom) = 0.000
# - DOS at the Fermi energy (states/eV per cell) = 8.5
# - offset from the most stable computed form (meV per atom) = 215.7
# - calculated volume (Å³ per cell) = 177.66
# - final energy (eV/atom) = -9.63
data_LaMo2Os2
_chemical_formula_sum 'La2 Mo4 Os4'
_cell_length_a 7.8367
_cell_length_b 7.8367
_cell_length_c 2.8928
_cell_angle_alpha 90.00
_cell_angle_beta 90.00
_cell_angle_gamma 90.00
_symmetry_space_group_name_H-M 'P 1'
_symmetry_Int_Tables_number 1
loop_
_symmetry_equiv_pos_as_xyz
'x,y,z'
loop_
_atom_site_label
_atom_site_type_symbol
_atom_site_fract_x
_atom_site_fract_y
_atom_site_fract_z
_atom_site_occupancy
Mo1 Mo 0.3430 0.8430 0.0000 1
Mo2 Mo 0.8430 0.6570 0.0000 1
Mo3 Mo 0.6570 0.1570 0.0000 1
Mo4 Mo 0.1570 0.3430 0.0000 1
Os1 Os 0.1317 0.6317 0.5000 1
Os2 Os 0.6317 0.8683 0.5000 1
Os3 Os 0.8683 0.3683 0.5000 1
Os4 Os 0.3683 0.1317 0.5000 1
La1 La 0.0000 0.0000 0.0000 1
La2 La 0.5000 0.5000 0.0000 1

Record 4
# LaMoOs2 | the Alexandria database | GGA-PBE | relaxed
# - magnetization (μB per atom) = 0.000
# - DOS at the Fermi energy (states/eV per cell) = 3.8
# - offset from the most stable computed form (meV per atom) = 255.3
# - calculated volume (Å³ per cell) = 76.63
# - final energy (eV/atom) = -9.12
data_LaMoOs2
_chemical_formula_sum 'La1 Mo1 Os2'
_cell_length_a 5.2312
_cell_length_b 5.2312
_cell_length_c 5.2607
_cell_angle_alpha 73.49
_cell_angle_beta 73.49
_cell_angle_gamma 33.88
_symmetry_space_group_name_H-M 'P 1'
_symmetry_Int_Tables_number 1
loop_
_symmetry_equiv_pos_as_xyz
'x,y,z'
loop_
_atom_site_label
_atom_site_type_symbol
_atom_site_fract_x
_atom_site_fract_y
_atom_site_fract_z
_atom_site_occupancy
La1 La 0.5060 0.5060 0.5062 1
Mo1 Mo 0.7182 0.7182 0.8077 1
Os1 Os 0.0014 0.0014 0.0269 1
Os2 Os 0.2744 0.2744 0.1593 1

Record 5
# LaMo2Os2 | the Alexandria database | GGA-PBE | relaxed
# - magnetization (μB per atom) = 0.000
# - DOS at the Fermi energy (states/eV per cell) = 5.3
# - offset from the most stable computed form (meV per atom) = 239.2
# - calculated volume (Å³ per cell) = 101.47
# - final energy (eV/atom) = -9.60
data_LaMo2Os2
_chemical_formula_sum 'La1 Mo2 Os2'
_cell_length_a 4.3442
_cell_length_b 4.3442
_cell_length_c 6.1923
_cell_angle_alpha 69.47
_cell_angle_beta 69.47
_cell_angle_gamma 90.00
_symmetry_space_group_name_H-M 'P 1'
_symmetry_Int_Tables_number 1
loop_
_symmetry_equiv_pos_as_xyz
'x,y,z'
loop_
_atom_site_label
_atom_site_type_symbol
_atom_site_fract_x
_atom_site_fract_y
_atom_site_fract_z
_atom_site_occupancy
Mo1 Mo 0.3732 0.3732 0.2536 1
Mo2 Mo 0.6268 0.6268 0.7464 1
Os1 Os 0.7500 0.2500 0.5000 1
Os2 Os 0.2500 0.7500 0.5000 1
La1 La 0.0000 0.0000 0.0000 1

Record 6
# La2MoOs | the Alexandria database | GGA-PBE | relaxed
# - magnetization (μB per atom) = 0.000
# - DOS at the Fermi energy (states/eV per cell) = 4.6
# - offset from the most stable computed form (meV per atom) = 524.3
# - calculated volume (Å³ per cell) = 92.72
# - final energy (eV/atom) = -7.38
data_La2MoOs
_chemical_formula_sum 'La2 Mo1 Os1'
_cell_length_a 3.2718
_cell_length_b 3.2718
_cell_length_c 8.8001
_cell_angle_alpha 90.00
_cell_angle_beta 90.00
_cell_angle_gamma 100.17
_symmetry_space_group_name_H-M 'P 1'
_symmetry_Int_Tables_number 1
loop_
_symmetry_equiv_pos_as_xyz
'x,y,z'
loop_
_atom_site_label
_atom_site_type_symbol
_atom_site_fract_x
_atom_site_fract_y
_atom_site_fract_z
_atom_site_occupancy
La1 La 0.0000 0.0000 0.9762 1
La2 La 0.0000 0.0000 0.5238 1
Mo1 Mo 0.5000 0.5000 0.2500 1
Os1 Os 0.5000 0.5000 0.7500 1

Record 7
# LaMoOs2 | the Alexandria database | GGA-PBE | relaxed
# - magnetization (μB per atom) = 0.035
# - DOS at the Fermi energy (states/eV per cell) = 4.5
# - offset from the most stable computed form (meV per atom) = 340.6
# - calculated volume (Å³ per cell) = 70.34
# - final energy (eV/atom) = -9.03
data_LaMoOs2
_chemical_formula_sum 'La1 Mo1 Os2'
_cell_length_a 9.9995
_cell_length_b 9.9995
_cell_length_c 9.9995
_cell_angle_alpha 16.50
_cell_angle_beta 16.50
_cell_angle_gamma 16.50
_symmetry_space_group_name_H-M 'P 1'
_symmetry_Int_Tables_number 1
loop_
_symmetry_equiv_pos_as_xyz
'x,y,z'
loop_
_atom_site_label
_atom_site_type_symbol
_atom_site_fract_x
_atom_site_fract_y
_atom_site_fract_z
_atom_site_occupancy
La1 La 0.2500 0.2500 0.2500 1
Mo1 Mo 0.7500 0.7500 0.7500 1
Os1 Os 0.0108 0.0108 0.0108 1
Os2 Os 0.4892 0.4892 0.4892 1

Record 8
# LaMo2Os2 | the Alexandria database | GGA-PBE | relaxed
# - magnetization (μB per atom) = 0.000
# - DOS at the Fermi energy (states/eV per cell) = 12.0
# - offset from the most stable computed form (meV per atom) = 296.1
# - calculated volume (Å³ per cell) = 180.53
# - final energy (eV/atom) = -9.55
data_LaMo2Os2
_chemical_formula_sum 'La2 Mo4 Os4'
_cell_length_a 7.9523
_cell_length_b 7.9523
_cell_length_c 2.8548
_cell_angle_alpha 90.00
_cell_angle_beta 90.00
_cell_angle_gamma 90.00
_symmetry_space_group_name_H-M 'P 1'
_symmetry_Int_Tables_number 1
loop_
_symmetry_equiv_pos_as_xyz
'x,y,z'
loop_
_atom_site_label
_atom_site_type_symbol
_atom_site_fract_x
_atom_site_fract_y
_atom_site_fract_z
_atom_site_occupancy
Mo1 Mo 0.1267 0.6267 0.5000 1
Mo2 Mo 0.6267 0.8733 0.5000 1
Mo3 Mo 0.8733 0.3733 0.5000 1
Mo4 Mo 0.3733 0.1267 0.5000 1
Os1 Os 0.3390 0.8390 0.0000 1
Os2 Os 0.8390 0.6610 0.0000 1
Os3 Os 0.6610 0.1610 0.0000 1
Os4 Os 0.1610 0.3390 0.0000 1
La1 La 0.0000 0.0000 0.0000 1
La2 La 0.5000 0.5000 0.0000 1

Record 9
# LaMoOs2 | the Alexandria database | GGA-PBE | relaxed
# - magnetization (μB per atom) = 0.000
# - DOS at the Fermi energy (states/eV per cell) = 4.2
# - offset from the most stable computed form (meV per atom) = 324.9
# - calculated volume (Å³ per cell) = 74.77
# - final energy (eV/atom) = -9.05
data_LaMoOs2
_chemical_formula_sum 'La1 Mo1 Os2'
_cell_length_a 5.9500
_cell_length_b 5.9500
_cell_length_c 5.9500
_cell_angle_alpha 151.72
_cell_angle_beta 131.06
_cell_angle_gamma 57.49
_symmetry_space_group_name_H-M 'P 1'
_symmetry_Int_Tables_number 1
loop_
_symmetry_equiv_pos_as_xyz
'x,y,z'
loop_
_atom_site_label
_atom_site_type_symbol
_atom_site_fract_x
_atom_site_fract_y
_atom_site_fract_z
_atom_site_occupancy
La1 La 0.5046 0.5046 0.0000 1
Mo1 Mo 0.2168 0.7168 0.5000 1
Os1 Os 0.9939 0.9939 0.0000 1
Os2 Os 0.7846 0.2846 0.5000 1

Record 10
# LaMo2Os2 | the Alexandria database | GGA-PBE | relaxed
# - magnetization (μB per atom) = 0.000
# - DOS at the Fermi energy (states/eV per cell) = 4.3
# - offset from the most stable computed form (meV per atom) = 0.0
# - calculated volume (Å³ per cell) = 101.26
# - final energy (eV/atom) = -9.84
data_LaMo2Os2
_chemical_formula_sum 'La1 Mo2 Os2'
_cell_length_a 4.4028
_cell_length_b 4.4028
_cell_length_c 6.0809
_cell_angle_alpha 68.78
_cell_angle_beta 68.78
_cell_angle_gamma 90.00
_symmetry_space_group_name_H-M 'P 1'
_symmetry_Int_Tables_number 1
loop_
_symmetry_equiv_pos_as_xyz
'x,y,z'
loop_
_atom_site_label
_atom_site_type_symbol
_atom_site_fract_x
_atom_site_fract_y
_atom_site_fract_z
_atom_site_occupancy
Mo1 Mo 0.7500 0.2500 0.5000 1
Mo2 Mo 0.2500 0.7500 0.5000 1
Os1 Os 0.3724 0.3724 0.2552 1
Os2 Os 0.6276 0.6276 0.7448 1
La1 La 0.0000 0.0000 0.0000 1

Record 11
# La2MoOs4 | the Alexandria database | GGA-PBE | relaxed
# - magnetization (μB per atom) = 0.000
# - DOS at the Fermi energy (states/eV per cell) = 9.6
# - calculated volume (Å³ per cell) = 166.42
# - final energy (eV/atom) = -8.27
data_La2MoOs4
_chemical_formula_sum 'La2 Mo1 Os4'
_cell_length_a 4.7704
_cell_length_b 4.7704
_cell_length_c 8.0533
_cell_angle_alpha 72.77
_cell_angle_beta 72.77
_cell_angle_gamma 90.00
_symmetry_space_group_name_H-M 'P 1'
_symmetry_Int_Tables_number 1
loop_
_symmetry_equiv_pos_as_xyz
'x,y,z'
loop_
_atom_site_label
_atom_site_type_symbol
_atom_site_fract_x
_atom_site_fract_y
_atom_site_fract_z
_atom_site_occupancy
Mo1 Mo 0.0000 0.0000 0.0000 1
Os1 Os 0.8370 0.8370 0.3260 1
Os2 Os 0.1630 0.1630 0.6740 1
Os3 Os 0.0000 0.5000 0.0000 1
Os4 Os 0.5000 0.0000 0.0000 1
La1 La 0.6436 0.6436 0.7128 1
La2 La 0.3564 0.3564 0.2872 1

Record 12
# LaMoOs2 | the Alexandria database | GGA-PBE | relaxed
# - magnetization (μB per atom) = 0.000
# - DOS at the Fermi energy (states/eV per cell) = 4.2
# - offset from the most stable computed form (meV per atom) = 0.0
# - calculated volume (Å³ per cell) = 74.27
# - final energy (eV/atom) = -9.37
data_LaMoOs2
_chemical_formula_sum 'La1 Mo1 Os2'
_cell_length_a 3.1191
_cell_length_b 3.1191
_cell_length_c 7.6346
_cell_angle_alpha 90.00
_cell_angle_beta 90.00
_cell_angle_gamma 90.00
_symmetry_space_group_name_H-M 'P 1'
_symmetry_Int_Tables_number 1
loop_
_symmetry_equiv_pos_as_xyz
'x,y,z'
loop_
_atom_site_label
_atom_site_type_symbol
_atom_site_fract_x
_atom_site_fract_y
_atom_site_fract_z
_atom_site_occupancy
La1 La 0.5000 0.5000 0.2500 1
Mo1 Mo 0.5000 0.5000 0.7500 1
Os1 Os 0.0000 0.0000 0.9453 1
Os2 Os 0.0000 0.0000 0.5547 1